# GGA-PBE Sr3MgSn, optimized geometry
data_Sr3MgSn
_chemical_formula_sum 'Sr3 Mg1 Sn1'
_space_group_name_H-M_alt 'P m -3 m'
_space_group_IT_number 221
_space_group_name_Hall '-P 4 2 3'
_cell_length_a 6.3675
_cell_length_b 6.3675
_cell_length_c 6.3675
_cell_angle_alpha 90.00
_cell_angle_beta 90.00
_cell_angle_gamma 90.00
loop_
_atom_site_label
_atom_site_fract_x
_atom_site_fract_y
_atom_site_fract_z
Sr1 0.0000 0.0000 0.5000
Mg1 0.5000 0.5000 0.5000
Sn1 0.0000 0.0000 0.0000
# * ρ: 2.61 g cm⁻³
# * spin magnetization: 0.00 μB/f.u.
# * E: -0.080 hartree per atom
# * N(E_F): 4.2 states/eV per cell
# * E above lowest polymorph: 157.7 meV per atom
# * energy of formation: -62 meV per atom